This record from Alexandria describes crystalline NaHoP2O8 at its relaxed geometry. The functional is PBE-GGA.

Density in g/cm3: 4.2
Total energy in eV per cell: -167.01
DOS(E_F) in states/eV/cell: 14.12

CIF file:
```
data_NaHoP2O8
_chemical_formula_sum 'Na2 Ho2 P4 O16'
_symmetry_space_group_name_H-M 'I -4 m 2'
_symmetry_Int_Tables_number 119
_symmetry_space_group_name_Hall 'I -4 -2'
_cell_length_a 6.981
_cell_length_b 6.981
_cell_length_c 6.144
_cell_angle_alpha 90.00
_cell_angle_beta 90.00
_cell_angle_gamma 90.00
loop_
_atom_site_label
_atom_site_fract_x
_atom_site_fract_y
_atom_site_fract_z
Na1 0.000 0.000 0.000
Ho1 0.000 0.500 0.250
P1 0.000 0.000 0.500
P2 0.000 0.500 0.750
O1 0.000 0.180 0.353
O2 0.000 0.327 0.907
```